1.
Computed, not measured: an optimized crystal structure of Rb2Mg2S3O12 at the GGA-PBEsol level of DFT.

Cell lengths 10.0158, 10.0158, 10.0158 Å; angles 90.00, 90.00, 90.00 degrees
Closest atoms and distances in Å follow each position.
Element x y z (fractional)
Rb  0.0458  0.0458  0.0458  9 O 2.90-3.15
Rb  0.1828  0.3172  0.6828  12 O 2.93-3.24
Rb  0.3172  0.6828  0.1828  12 O 2.93-3.24
Rb  0.4542  0.9542  0.5458  9 O 2.90-3.15
Rb  0.5458  0.4542  0.9542  9 O 2.90-3.15
Rb  0.6828  0.1828  0.3172  12 O 2.93-3.24
Rb  0.8172  0.8172  0.8172  12 O 2.93-3.24
Rb  0.9542  0.5458  0.4542  9 O 2.90-3.15
Mg  0.1001  0.8999  0.3999  6 O 2.07-2.08
Mg  0.1643  0.6643  0.8357  6 O 2.06-2.08
Mg  0.3357  0.3357  0.3357  6 O 2.06-2.08
Mg  0.3999  0.1001  0.8999  6 O 2.07-2.08
Mg  0.6001  0.6001  0.6001  6 O 2.07-2.08
Mg  0.6643  0.8357  0.1643  6 O 2.06-2.08
Mg  0.8357  0.1643  0.6643  6 O 2.06-2.08
Mg  0.8999  0.3999  0.1001  6 O 2.07-2.08
S  0.0194  0.2138  0.3756  4 O 1.47-1.49
S  0.1244  0.9806  0.7138  4 O 1.47-1.49
S  0.2138  0.3756  0.0194  4 O 1.47-1.49
S  0.2862  0.6244  0.5194  4 O 1.47-1.49
S  0.3756  0.0194  0.2138  4 O 1.47-1.49
S  0.4806  0.7862  0.8756  4 O 1.47-1.49
S  0.5194  0.2862  0.6244  4 O 1.47-1.49
S  0.6244  0.5194  0.2862  4 O 1.47-1.49
S  0.7138  0.1244  0.9806  4 O 1.47-1.49
S  0.7862  0.8756  0.4806  4 O 1.47-1.49
S  0.8756  0.4806  0.7862  4 O 1.47-1.49
S  0.9806  0.7138  0.1244  4 O 1.47-1.49
O  0.0014  0.5564  0.7651  1 S 1.49
O  0.0088  0.0727  0.3320  1 S 1.48
O  0.0415  0.8001  0.2277  1 S 1.48
O  0.0564  0.7349  0.9986  1 S 1.49
O  0.0727  0.3320  0.0088  1 S 1.48
O  0.1008  0.8402  0.7509  1 S 1.47
O  0.1598  0.2509  0.3992  1 S 1.47
O  0.1680  0.9912  0.5727  1 S 1.48
O  0.1999  0.7277  0.4585  1 S 1.48
O  0.2277  0.0415  0.8001  1 S 1.48
O  0.2349  0.5014  0.9436  1 S 1.49
O  0.2491  0.6008  0.6598  1 S 1.47
O  0.2509  0.3992  0.1598  1 S 1.47
O  0.2651  0.4986  0.4436  1 S 1.49
O  0.2723  0.9585  0.3001  1 S 1.48
O  0.3001  0.2723  0.9585  1 S 1.48
O  0.3320  0.0088  0.0727  1 S 1.48
O  0.3402  0.7491  0.8992  1 S 1.47
O  0.3992  0.1598  0.2509  1 S 1.47
O  0.4273  0.6680  0.5088  1 S 1.48
O  0.4436  0.2651  0.4986  1 S 1.49
O  0.4585  0.1999  0.7277  1 S 1.48
O  0.4912  0.9273  0.8320  1 S 1.48
O  0.4986  0.4436  0.2651  1 S 1.49
O  0.5014  0.9436  0.2349  1 S 1.49
O  0.5088  0.4273  0.6680  1 S 1.48
O  0.5415  0.6999  0.7723  1 S 1.48
O  0.5564  0.7651  0.0014  1 S 1.49
O  0.5727  0.1680  0.9912  1 S 1.48
O  0.6008  0.6598  0.2491  1 S 1.47
O  0.6598  0.2491  0.6008  1 S 1.47
O  0.6680  0.5088  0.4273  1 S 1.48
O  0.6999  0.7723  0.5415  1 S 1.48
O  0.7277  0.4585  0.1999  1 S 1.48
O  0.7349  0.9986  0.0564  1 S 1.49
O  0.7491  0.8992  0.3402  1 S 1.47
O  0.7509  0.1008  0.8402  1 S 1.47
O  0.7651  0.0014  0.5564  1 S 1.49
O  0.7723  0.5415  0.6999  1 S 1.48
O  0.8001  0.2277  0.0415  1 S 1.48
O  0.8320  0.4912  0.9273  1 S 1.48
O  0.8402  0.7509  0.1008  1 S 1.47
O  0.8992  0.3402  0.7491  1 S 1.47
O  0.9273  0.8320  0.4912  1 S 1.48
O  0.9436  0.2349  0.5014  1 S 1.49
O  0.9585  0.3001  0.2723  1 S 1.48
O  0.9912  0.5727  0.1680  1 S 1.48
O  0.9986  0.0564  0.7349  1 S 1.49

Results
The formation energy without anion corrections comes out at -1.9962 eV/atom. For the density, the calculation gives 3.36 g cm⁻³.

---

2.
Computed, not measured: an optimized crystal structure of AgHgTe2 at the GGA-PBEsol level of DFT.

Cell lengths 3.7824, 5.0796, 10.4746 Å; angles 90.00, 90.00, 90.00 degrees
Closest atoms and distances in Å follow each position.
Element x y z (fractional)
Ag  0.0000  0.0000  0.0000  4 Te 2.94, 4 Ag 3.17
Ag  0.5000  0.5000  0.0000  4 Te 2.94, 4 Ag 3.17
Hg  0.0000  0.0000  0.5000  4 Hg 3.17, 4 Te 3.54
Hg  0.5000  0.5000  0.5000  4 Hg 3.17, 4 Te 3.54
Te  0.0000  0.5000  0.2148  2 Ag 2.94, 4 Te 3.17
Te  0.0000  0.5000  0.7852  2 Ag 2.94, 4 Te 3.17
Te  0.5000  0.0000  0.2148  2 Ag 2.94, 4 Te 3.17
Te  0.5000  0.0000  0.7852  2 Ag 2.94, 4 Te 3.17

Results
The formation energy without anion corrections comes out at 0.1129 eV/atom. For the density, the calculation gives 9.30 g cm⁻³.

---

3.
Computed, not measured: an optimized crystal structure of TcHg2P at the GGA-PBEsol level of DFT.

Cell lengths 3.8015, 3.8015, 9.5244 Å; angles 90.00, 90.00, 90.00 degrees
Closest atoms and distances in Å follow each position.
Element x y z (fractional)
Tc  0.0000  0.0000  0.0000  4 P 2.69
Tc  0.5000  0.5000  0.5000  4 P 2.69
Hg  0.0000  0.5000  0.2500  4 Hg 2.69
Hg  0.0000  0.5000  0.7500  4 Hg 2.69
Hg  0.5000  0.0000  0.2500  4 Hg 2.69
Hg  0.5000  0.0000  0.7500  4 Hg 2.69
P  0.0000  0.0000  0.5000  4 Tc 2.69
P  0.5000  0.5000  0.0000  4 Tc 2.69

Results
For the density, the calculation gives 12.79 g cm⁻³. Its calculated formation energy is 0.615 eV per atom.

---

4.
Computed, not measured: an optimized crystal structure of TlCd2Cl at the GGA-PBEsol level of DFT.

Cell lengths 4.6727, 4.6727, 9.0703 Å; angles 90.00, 90.00, 90.00 degrees
Closest atoms and distances in Å follow each position.
Element x y z (fractional)
Tl  0.0000  0.0000  0.0000  8 Cd 3.26-3.30, 4 Cl 3.26
Tl  0.5000  0.5000  0.5000  8 Cd 3.26-3.30, 4 Cl 3.26
Cd  0.0000  0.0000  0.5000  4 Cd 3.26, 4 Cl 3.26, 4 Tl 3.30
Cd  0.0000  0.5000  0.2500  4 Cd 3.26, 4 Tl 3.26, 4 Cl 3.30
Cd  0.5000  0.0000  0.7500  4 Cd 3.26, 4 Tl 3.26, 4 Cl 3.30
Cd  0.5000  0.5000  0.0000  4 Cd 3.26, 4 Cl 3.26, 4 Tl 3.30
Cl  0.0000  0.5000  0.7500  8 Cd 3.26-3.30, 4 Tl 3.26
Cl  0.5000  0.0000  0.2500  8 Cd 3.26-3.30, 4 Tl 3.26

Results
The formation energy without anion corrections comes out at -0.1873 eV/atom. For the density, the calculation gives 7.79 g cm⁻³.

---

5.
Computed, not measured: an optimized crystal structure of Te4Pb5Se at the GGA-PBEsol level of DFT.

Cell lengths 16.2150, 16.2150, 16.2150 Å; angles 164.03, 164.03, 22.66 degrees
Closest atoms and distances in Å follow each position.
Element x y z (fractional)
Te  0.1000  0.1000  0.0000  6 Pb 3.18-3.22
Te  0.3019  0.3019  0.0000  6 Pb 3.19-3.25
Te  0.6981  0.6981  0.0000  6 Pb 3.19-3.25
Te  0.9000  0.9000  0.0000  6 Pb 3.18-3.22
Pb  0.0000  0.0000  0.0000  2 Te 3.18, 4 Se 3.19
Pb  0.2011  0.2011  0.0000  6 Te 3.19-3.22
Pb  0.4043  0.4043  0.0000  1 Se 3.04, 5 Te 3.19-3.25
Pb  0.5957  0.5957  0.0000  1 Se 3.04, 5 Te 3.19-3.25
Pb  0.7989  0.7989  0.0000  6 Te 3.19-3.22
Se  0.5000  0.5000  0.0000  6 Pb 3.04-3.19

Results
The formation energy without anion corrections comes out at -0.3861 eV/atom. For the density, the calculation gives 8.36 g cm⁻³.

---

6.
Computed, not measured: an optimized crystal structure of SrY3Cl at the GGA-PBEsol level of DFT.

Cell lengths 5.6767, 5.6767, 5.6767 Å; angles 90.00, 90.00, 90.00 degrees
Closest atoms and distances in Å follow each position.
Element x y z (fractional)
Sr  0.0000  0.0000  0.0000  6 Y 2.84
Y  0.0000  0.0000  0.5000  2 Sr 2.84
Y  0.0000  0.5000  0.0000  2 Sr 2.84
Y  0.5000  0.0000  0.0000  2 Sr 2.84
Cl  0.5000  0.5000  0.5000  12 Y 4.01

Results
The formation energy without anion corrections comes out at 1.0749 eV/atom. For the density, the calculation gives 3.54 g cm⁻³.

---

7.
Computed, not measured: an optimized crystal structure of In2Co at the GGA-PBEsol level of DFT.

Cell lengths 3.0039, 3.0039, 11.8155 Å; angles 90.00, 90.00, 90.00 degrees
Closest atoms and distances in Å follow each position.
Element x y z (fractional)
In  0.0000  0.0000  0.1373  4 Co 2.67
In  0.0000  0.0000  0.8627  4 Co 2.67
In  0.5000  0.5000  0.3627  4 Co 2.67
In  0.5000  0.5000  0.6373  4 Co 2.67
Co  0.0000  0.0000  0.5000  8 In 2.67
Co  0.5000  0.5000  0.0000  8 In 2.67

Results
For the density, the calculation gives 8.99 g cm⁻³. Its calculated formation energy is 0.163 eV per atom.

---

8.
Computed, not measured: an optimized crystal structure of ReNiW2 at the GGA-PBEsol level of DFT.

Cell lengths 2.6521, 2.6521, 8.0710 Å; angles 90.00, 90.00, 90.00 degrees
Closest atoms and distances in Å follow each position.
Element x y z (fractional)
Re  0.0000  0.0000  0.0000  4 Ni 2.59, 4 Re 2.65, 4 W 2.87
Ni  0.5000  0.5000  0.7787  4 Re 2.59, 4 W 2.64, 4 Ni 2.65
W  0.0000  0.0000  0.5481  4 Ni 2.64, 8 W 2.65-2.93
W  0.5000  0.5000  0.2687  8 W 2.65-2.93, 4 Re 2.87

Results
For the density, the calculation gives 17.92 g cm⁻³. Its calculated formation energy is 0.205 eV per atom.

---

9.
Computed, not measured: an optimized crystal structure of ZnMoSe3 at the GGA-PBEsol level of DFT.

Cell lengths 4.7590, 4.7590, 4.7590 Å; angles 90.00, 90.00, 90.00 degrees
Closest atoms and distances in Å follow each position.
Element x y z (fractional)
Zn  0.0000  0.0000  0.0000  6 Se 2.38
Mo  0.5000  0.5000  0.5000  12 Se 3.37
Se  0.0000  0.0000  0.5000  2 Zn 2.38
Se  0.0000  0.5000  0.0000  2 Zn 2.38
Se  0.5000  0.0000  0.0000  2 Zn 2.38

Results
The formation energy without anion corrections comes out at 0.8995 eV/atom. For the density, the calculation gives 6.14 g cm⁻³.

---

10.
Computed, not measured: an optimized crystal structure of GeSe3S at the GGA-PBEsol level of DFT.

Cell lengths 4.7894, 4.7894, 4.7894 Å; angles 90.00, 90.00, 90.00 degrees
Closest atoms and distances in Å follow each position.
Element x y z (fractional)
Ge  0.0000  0.0000  0.0000  12 Se 3.39
Se  0.0000  0.5000  0.5000  2 S 2.39
Se  0.5000  0.0000  0.5000  2 S 2.39
Se  0.5000  0.5000  0.0000  2 S 2.39
S  0.5000  0.5000  0.5000  6 Se 2.39

Results
The formation energy without anion corrections comes out at 0.4500 eV/atom. For the density, the calculation gives 5.16 g cm⁻³.

---

11.
Computed, not measured: an optimized crystal structure of Cu2H3ClO3 at the GGA-PBEsol level of DFT.

Cell lengths 5.5823, 6.0642, 5.6463 Å; angles 90.00, 92.22, 90.00 degrees
Closest atoms and distances in Å follow each position.
Element x y z (fractional)
Cu  0.0000  0.0000  0.0000  4 O 1.90-1.95
Cu  0.0000  0.5000  0.0000  4 O 1.90-1.95
Cu  0.0259  0.2500  0.4935  4 O 1.99-2.00
Cu  0.9741  0.7500  0.5065  4 O 1.99-2.00
H  0.3133  0.5426  0.7015  1 O 1.00
H  0.3133  0.9574  0.7015  1 O 1.00
H  0.3372  0.7500  0.0451  1 O 0.99
H  0.6628  0.2500  0.9549  1 O 0.99
H  0.6867  0.0426  0.2985  1 O 1.00
H  0.6867  0.4574  0.2985  1 O 1.00
Cl  0.3876  0.2500  0.2174  3 H 2.13-2.18
Cl  0.6124  0.7500  0.7826  3 H 2.13-2.18
O  0.1385  0.5066  0.6877  1 H 1.00
O  0.1385  0.9934  0.6877  1 H 1.00
O  0.1754  0.7500  0.1126  1 H 0.99
O  0.8246  0.2500  0.8874  1 H 0.99
O  0.8615  0.0066  0.3123  1 H 1.00
O  0.8615  0.4934  0.3123  1 H 1.00

Results
The total DFT energy (no corrections) is -86.347 eV per cell. For the density, the calculation gives 3.71 g cm⁻³.

---

12.
Computed, not measured: an optimized crystal structure of CdAg4 at the GGA-PBEsol level of DFT.

Cell lengths 2.9037, 2.9037, 20.2768 Å; angles 90.00, 90.00, 90.00 degrees
Closest atoms and distances in Å follow each position.
Element x y z (fractional)
Cd  0.0000  0.0000  0.0000  4 Cd 2.90, 8 Ag 2.93
Cd  0.5000  0.5000  0.5000  4 Cd 2.90, 8 Ag 2.93
Ag  0.0000  0.0000  0.2012  12 Ag 2.85-2.90
Ag  0.0000  0.0000  0.3970  8 Ag 2.86-2.90, 4 Cd 2.93
Ag  0.0000  0.0000  0.6030  8 Ag 2.86-2.90, 4 Cd 2.93
Ag  0.0000  0.0000  0.7988  12 Ag 2.85-2.90
Ag  0.5000  0.5000  0.1030  8 Ag 2.86-2.90, 4 Cd 2.93
Ag  0.5000  0.5000  0.2988  12 Ag 2.85-2.90
Ag  0.5000  0.5000  0.7012  12 Ag 2.85-2.90
Ag  0.5000  0.5000  0.8970  8 Ag 2.86-2.90, 4 Cd 2.93

Results
For the density, the calculation gives 10.57 g cm⁻³. Its calculated formation energy is -0.025 eV per atom.

---

| no. | calculated volume (Å³/cell) |
| --- | --- |
| 1 | 1005 |
| 2 | 201 |
| 3 | 138 |
| 4 | 198 |
| 5 | 323 |
| 6 | 183 |
| 7 | 107 |
| 8 | 57 |
| 9 | 108 |
| 10 | 110 |
| 11 | 191 |
| 12 | 171 |